The following is a PBE with a Hubbard U calculation of a relaxed TaCoF3 crystal, from Alexandria.

Results
Space group ... Pm-3m
Electronic total energy ... -4.958 eV/atom
Relative energy among the computed polymorphs ... 190 meV per atom

The structure in POSCAR format:
```
TaCoF3
1.0
4.047 0.000 0.000
0.000 4.047 0.000
0.000 0.000 4.047
Ta Co F
1 1 3
direct
0.000 0.000 0.000
0.500 0.500 0.500
0.000 0.500 0.500
0.500 0.000 0.500
0.500 0.500 0.000
```